# Na2VCu3S4 (PBE, optimized geometry)
# E_tot = -4.698 eV per atom
data_Na2VCu3S4
_cell_length_a 15.2327
_cell_length_b 3.8705
_cell_length_c 6.6975
_cell_angle_alpha 90.00
_cell_angle_beta 115.94
_cell_angle_gamma 90.00
_space_group_name_H-M_alt 'C 1 m 1'
_space_group_IT_number 8
_space_group_name_Hall 'C -2y'
loop_
_atom_site_label
_atom_site_fract_x
_atom_site_fract_y
_atom_site_fract_z
Na1 0.0000 0.0000 0.0000
Na2 0.0017 0.5000 0.4932
V1 0.3054 0.5000 0.4611
Cu1 0.1809 0.5000 0.9998
Cu2 0.1818 0.0000 0.5247
Cu3 0.2977 0.0000 0.9717
S1 0.1228 0.0000 0.7876
S2 0.1387 0.5000 0.2987
S3 0.3570 0.0000 0.6847
S4 0.3619 0.5000 0.1918

=====

# Bi2IO7 (PBE, optimized geometry)
# E_tot = -4.854 eV per atom
data_Bi2IO7
_cell_length_a 13.1806
_cell_length_b 6.1483
_cell_length_c 9.6743
_cell_angle_alpha 90.00
_cell_angle_beta 132.35
_cell_angle_gamma 90.00
_space_group_name_H-M_alt 'C 1 2/c 1'
_space_group_IT_number 15
_space_group_name_Hall '-C 2yc'
loop_
_atom_site_label
_atom_site_fract_x
_atom_site_fract_y
_atom_site_fract_z
Bi1 0.1856 0.0116 0.0423
I1 0.0000 0.4608 0.2500
O1 0.0000 0.1332 0.2500
O2 0.0915 0.3732 0.1665
O3 0.1198 0.2703 0.8128
O4 0.1781 0.4009 0.5094

=====

# TlWSe2 (PBE, optimized geometry)
# energy relative to the lowest polymorph listed for this composition = 623 meV/atom
data_TlWSe2
_cell_length_a 3.4913
_cell_length_b 3.4913
_cell_length_c 7.1995
_cell_angle_alpha 90.00
_cell_angle_beta 90.00
_cell_angle_gamma 90.00
_space_group_name_H-M_alt 'P 4 m m'
_space_group_IT_number 99
_space_group_name_Hall 'P 4 -2'
loop_
_atom_site_label
_atom_site_fract_x
_atom_site_fract_y
_atom_site_fract_z
Tl1 0.0000 0.0000 0.0000
W1 0.5000 0.5000 0.3212
Se1 0.0000 0.0000 0.4466
Se2 0.5000 0.5000 0.6759

=====

# CaAgIrO2 (PBE, optimized geometry)
# E_tot = -3.961 eV per atom
data_CaAgIrO2
_cell_length_a 4.1033
_cell_length_b 4.1033
_cell_length_c 5.7035
_cell_angle_alpha 90.00
_cell_angle_beta 90.00
_cell_angle_gamma 90.00
_space_group_name_H-M_alt 'P 4/m m m'
_space_group_IT_number 123
_space_group_name_Hall '-P 4 2'
loop_
_atom_site_label
_atom_site_fract_x
_atom_site_fract_y
_atom_site_fract_z
Ca1 0.0000 0.0000 0.0000
Ag1 0.0000 0.0000 0.5000
Ir1 0.5000 0.5000 0.0000
O1 0.0000 0.5000 0.5000

=====

# Li2Cd2Hg7 (PBE, optimized geometry)
# DFT formation energy = -1.2 eV/f.u.
# energy relative to the lowest polymorph listed for this composition = 0 meV/atom
data_Li2Cd2Hg7
_cell_length_a 3.1938
_cell_length_b 18.2811
_cell_length_c 9.0394
_cell_angle_alpha 90.00
_cell_angle_beta 90.00
_cell_angle_gamma 90.00
_space_group_name_H-M_alt 'I m m 2'
_space_group_IT_number 44
_space_group_name_Hall 'I 2 -2'
loop_
_atom_site_label
_atom_site_fract_x
_atom_site_fract_y
_atom_site_fract_z
Li1 0.0000 0.2460 0.0000
Cd1 0.0000 0.0000 0.2653
Cd2 0.0000 0.5000 0.1474
Hg1 0.0000 0.0000 0.9381
Hg2 0.0000 0.1260 0.4882
Hg3 0.0000 0.3307 0.2938
Hg4 0.0000 0.3508 0.6693

=====

# KYMn2 (PBE, optimized geometry)
# DFT formation energy = 3.1 eV/f.u.
# energy relative to the lowest polymorph listed for this composition = 296 meV/atom
data_KYMn2
_cell_length_a 11.3633
_cell_length_b 3.1997
_cell_length_c 5.9848
_cell_angle_alpha 90.00
_cell_angle_beta 105.15
_cell_angle_gamma 90.00
_space_group_name_H-M_alt 'C 1 m 1'
_space_group_IT_number 8
_space_group_name_Hall 'C -2y'
loop_
_atom_site_label
_atom_site_fract_x
_atom_site_fract_y
_atom_site_fract_z
K1 0.0000 0.0000 0.0000
Y1 0.1977 0.0000 0.6079
Mn1 0.2711 0.5000 0.2273
Mn2 0.4475 0.0000 0.4739

=====

# SmHoGeRu (PBE, optimized geometry)
# DFT formation energy = -2.4 eV/f.u.
# energy relative to the lowest polymorph listed for this composition = 0 meV/atom
data_SmHoGeRu
_cell_length_a 3.8620
_cell_length_b 4.2860
_cell_length_c 11.0192
_cell_angle_alpha 90.00
_cell_angle_beta 90.00
_cell_angle_gamma 90.00
_space_group_name_H-M_alt 'A m m 2'
_space_group_IT_number 38
_space_group_name_Hall 'A 2 -2'
loop_
_atom_site_label
_atom_site_fract_x
_atom_site_fract_y
_atom_site_fract_z
Sm1 0.0000 0.0000 0.0000
Ho1 0.5000 0.0000 0.7188
Ge1 0.5000 0.0000 0.4171
Ru1 0.0000 0.0000 0.2658

=====

# Na4Ac3NdTe8 (PBE, optimized geometry)
# E_tot = -4.344 eV per atom
data_Na4Ac3NdTe8
_cell_length_a 9.4524
_cell_length_b 9.4524
_cell_length_c 22.6669
_cell_angle_alpha 90.00
_cell_angle_beta 90.00
_cell_angle_gamma 120.00
_space_group_name_H-M_alt 'R -3 m'
_space_group_IT_number 166
_space_group_name_Hall '-R 3 2"'
loop_
_atom_site_label
_atom_site_fract_x
_atom_site_fract_y
_atom_site_fract_z
Na1 0.0000 0.0000 0.0000
Na2 0.0000 0.5000 0.0000
Ac1 0.0000 0.5000 0.5000
Nd1 0.0000 0.0000 0.5000
Te1 0.0000 0.0000 0.2504
Te2 0.0100 0.5050 0.2482

=====

# CoAsW4 (PBE, optimized geometry)
# DFT formation energy = 5.6 eV/f.u.
data_CoAsW4
_cell_length_a 7.4393
_cell_length_b 7.4393
_cell_length_c 7.4393
_cell_angle_alpha 90.00
_cell_angle_beta 90.00
_cell_angle_gamma 90.00
_space_group_name_H-M_alt 'F -4 3 m'
_space_group_IT_number 216
_space_group_name_Hall 'F -4 2 3'
loop_
_atom_site_label
_atom_site_fract_x
_atom_site_fract_y
_atom_site_fract_z
Co1 0.0000 0.0000 0.0000
As1 0.2500 0.2500 0.2500
W1 0.1260 0.1260 0.6260

=====

# Cd3HRu (PBE, optimized geometry)
# energy relative to the lowest polymorph listed for this composition = 556 meV/atom
data_Cd3HRu
_cell_length_a 5.2448
_cell_length_b 5.2448
_cell_length_c 5.2448
_cell_angle_alpha 90.00
_cell_angle_beta 90.00
_cell_angle_gamma 90.00
_space_group_name_H-M_alt 'P m -3 m'
_space_group_IT_number 221
_space_group_name_Hall '-P 4 2 3'
loop_
_atom_site_label
_atom_site_fract_x
_atom_site_fract_y
_atom_site_fract_z
Cd1 0.0000 0.0000 0.5000
H1 0.5000 0.5000 0.5000
Ru1 0.0000 0.0000 0.0000

=====

# LaSm5Dy2Y (PBE, optimized geometry)
# DFT formation energy = 2.6 eV/f.u.
data_LaSm5Dy2Y
_cell_length_a 9.2584
_cell_length_b 9.2584
_cell_length_c 14.5307
_cell_angle_alpha 90.00
_cell_angle_beta 90.00
_cell_angle_gamma 90.00
_space_group_name_H-M_alt 'I 4/m c m'
_space_group_IT_number 140
_space_group_name_Hall '-I 4 2c'
loop_
_atom_site_label
_atom_site_fract_x
_atom_site_fract_y
_atom_site_fract_z
La1 0.0000 0.0000 0.2500
Sm1 0.0000 0.0000 0.0000
Sm2 0.2032 0.2968 0.1293
Dy1 0.1102 0.3898 0.5000
Y1 0.0000 0.5000 0.2500

=====

# ScTeMo (PBE, optimized geometry)
# energy relative to the lowest polymorph listed for this composition = 599 meV/atom
data_ScTeMo
_cell_length_a 3.6687
_cell_length_b 5.2565
_cell_length_c 12.9141
_cell_angle_alpha 90.00
_cell_angle_beta 90.00
_cell_angle_gamma 90.00
_space_group_name_H-M_alt 'F m m 2'
_space_group_IT_number 42
_space_group_name_Hall 'F 2 -2'
loop_
_atom_site_label
_atom_site_fract_x
_atom_site_fract_y
_atom_site_fract_z
Sc1 0.0000 0.0000 0.0000
Te1 0.0000 0.0000 0.3201
Mo1 0.0000 0.0000 0.6620

=====

# KBeOs2 (PBE, optimized geometry)
# DFT formation energy = 6.5 eV/f.u.
data_KBeOs2
_cell_length_a 3.7693
_cell_length_b 3.7693
_cell_length_c 4.6581
_cell_angle_alpha 90.00
_cell_angle_beta 90.00
_cell_angle_gamma 90.00
_space_group_name_H-M_alt 'P 4/m m m'
_space_group_IT_number 123
_space_group_name_Hall '-P 4 2'
loop_
_atom_site_label
_atom_site_fract_x
_atom_site_fract_y
_atom_site_fract_z
K1 0.0000 0.0000 0.0000
Be1 0.5000 0.5000 0.0000
Os1 0.0000 0.5000 0.5000

=====

# KHPt2 (PBE, optimized geometry)
# energy relative to the lowest polymorph listed for this composition = 0 meV/atom
data_KHPt2
_cell_length_a 5.8212
_cell_length_b 5.8212
_cell_length_c 8.2013
_cell_angle_alpha 90.00
_cell_angle_beta 90.00
_cell_angle_gamma 90.00
_space_group_name_H-M_alt 'I 41/a m d'
_space_group_IT_number 141
loop_
_space_group_symop_operation_xyz
'x,y,z'
'-x,-y,-z'
'-y+1/4,x+3/4,z+1/4'
'y+1/4,-x+3/4,-z+1/4'
'-x+1/2,-y,z+1/2'
'x+1/2,y,-z+1/2'
'y+1/4,-x+1/4,z+3/4'
'-y+1/4,x+1/4,-z+3/4'
'x,-y,-z'
'-x,y,z'
'-y+1/4,-x+1/4,-z+3/4'
'y+1/4,x+1/4,z+3/4'
'-x+1/2,y,-z+1/2'
'x+1/2,-y,z+1/2'
'y+1/4,x+3/4,-z+1/4'
'-y+1/4,-x+3/4,z+1/4'
'x+1/2,y+1/2,z+1/2'
'-x+1/2,-y+1/2,-z+1/2'
'-y+3/4,x+1/4,z+3/4'
'y+3/4,-x+1/4,-z+3/4'
'-x,-y+1/2,z'
'x,y+1/2,-z'
'y+3/4,-x+3/4,z+1/4'
'-y+3/4,x+3/4,-z+1/4'
'x+1/2,-y+1/2,-z+1/2'
'-x+1/2,y+1/2,z+1/2'
'-y+3/4,-x+3/4,-z+1/4'
'y+3/4,x+3/4,z+1/4'
'-x,y+1/2,-z'
'x,-y+1/2,z'
'y+3/4,x+1/4,-z+3/4'
'-y+3/4,-x+1/4,z+3/4'
loop_
_atom_site_label
_atom_site_fract_x
_atom_site_fract_y
_atom_site_fract_z
K1 0.0000 0.2500 0.3750
H1 0.0000 0.2500 0.8750
Pt1 0.0000 0.0000 0.0000

=====

# TbAl4Zn (PBE, optimized geometry)
# DFT formation energy = 0.7 eV/f.u.
data_TbAl4Zn
_cell_length_a 5.1172
_cell_length_b 5.1172
_cell_length_c 20.5040
_cell_angle_alpha 90.00
_cell_angle_beta 90.00
_cell_angle_gamma 90.00
_space_group_name_H-M_alt 'I 41/a m d'
_space_group_IT_number 141
loop_
_space_group_symop_operation_xyz
'x,y,z'
'-x,-y,-z'
'-y+1/4,x+3/4,z+1/4'
'y+1/4,-x+3/4,-z+1/4'
'-x+1/2,-y,z+1/2'
'x+1/2,y,-z+1/2'
'y+1/4,-x+1/4,z+3/4'
'-y+1/4,x+1/4,-z+3/4'
'x,-y,-z'
'-x,y,z'
'-y+1/4,-x+1/4,-z+3/4'
'y+1/4,x+1/4,z+3/4'
'-x+1/2,y,-z+1/2'
'x+1/2,-y,z+1/2'
'y+1/4,x+3/4,-z+1/4'
'-y+1/4,-x+3/4,z+1/4'
'x+1/2,y+1/2,z+1/2'
'-x+1/2,-y+1/2,-z+1/2'
'-y+3/4,x+1/4,z+3/4'
'y+3/4,-x+1/4,-z+3/4'
'-x,-y+1/2,z'
'x,y+1/2,-z'
'y+3/4,-x+3/4,z+1/4'
'-y+3/4,x+3/4,-z+1/4'
'x+1/2,-y+1/2,-z+1/2'
'-x+1/2,y+1/2,z+1/2'
'-y+3/4,-x+3/4,-z+1/4'
'y+3/4,x+3/4,z+1/4'
'-x,y+1/2,-z'
'x,-y+1/2,z'
'y+3/4,x+1/4,-z+3/4'
'-y+3/4,-x+1/4,z+3/4'
loop_
_atom_site_label
_atom_site_fract_x
_atom_site_fract_y
_atom_site_fract_z
Tb1 0.0000 0.2500 0.3750
Al1 0.0000 0.0037 0.2286
Zn1 0.0000 0.2500 0.8750

=====

# Tb5PmNd2Er (PBE, optimized geometry)
# DFT formation energy = 2.4 eV/f.u.
data_Tb5PmNd2Er
_cell_length_a 8.7167
_cell_length_b 8.7167
_cell_length_c 15.6924
_cell_angle_alpha 90.00
_cell_angle_beta 90.00
_cell_angle_gamma 90.00
_space_group_name_H-M_alt 'I 4/m c m'
_space_group_IT_number 140
_space_group_name_Hall '-I 4 2c'
loop_
_atom_site_label
_atom_site_fract_x
_atom_site_fract_y
_atom_site_fract_z
Tb1 0.0000 0.0000 0.0000
Tb2 0.2112 0.2888 0.1390
Pm1 0.0000 0.0000 0.2500
Nd1 0.1176 0.3824 0.5000
Er1 0.0000 0.5000 0.2500

=====

# Pr3Sm6DyTm2 (PBE, optimized geometry)
# DFT formation energy = 0.2 eV/f.u.
data_Pr3Sm6DyTm2
_cell_length_a 6.2757
_cell_length_b 10.8712
_cell_length_c 11.9847
_cell_angle_alpha 90.00
_cell_angle_beta 100.06
_cell_angle_gamma 90.00
_space_group_name_H-M_alt 'C 1 2/m 1'
_space_group_IT_number 12
_space_group_name_Hall '-C 2y'
loop_
_atom_site_label
_atom_site_fract_x
_atom_site_fract_y
_atom_site_fract_z
Pr1 0.0000 0.0000 0.0000
Pr2 0.0000 0.3332 0.0000
Sm1 0.2479 0.0000 0.7440
Sm2 0.2486 0.3331 0.7441
Dy1 0.0000 0.5000 0.5000
Tm1 0.0000 0.1667 0.5000

=====

# NaHfIn2 (PBE, optimized geometry)
# DFT formation energy = 1.6 eV/f.u.
# energy relative to the lowest polymorph listed for this composition = 478 meV/atom
data_NaHfIn2
_cell_length_a 7.8686
_cell_length_b 7.8686
_cell_length_c 6.5558
_cell_angle_alpha 90.00
_cell_angle_beta 90.00
_cell_angle_gamma 90.00
_space_group_name_H-M_alt 'I -4 2 d'
_space_group_IT_number 122
_space_group_name_Hall 'I -4 2bw'
loop_
_atom_site_label
_atom_site_fract_x
_atom_site_fract_y
_atom_site_fract_z
Na1 0.0000 0.0000 0.0000
Hf1 0.0000 0.0000 0.5000
In1 0.2461 0.2500 0.1250

=====

# HoGa6Si (PBE, optimized geometry)
# E_tot = -3.522 eV per atom
data_HoGa6Si
_cell_length_a 8.4352
_cell_length_b 8.4352
_cell_length_c 8.4076
_cell_angle_alpha 90.00
_cell_angle_beta 90.00
_cell_angle_gamma 120.00
_space_group_name_H-M_alt 'R -3 m'
_space_group_IT_number 166
_space_group_name_Hall '-R 3 2"'
loop_
_atom_site_label
_atom_site_fract_x
_atom_site_fract_y
_atom_site_fract_z
Ho1 0.0000 0.0000 0.0000
Ga1 0.0684 0.5342 0.3540
Si1 0.0000 0.0000 0.5000

=====

# Sm5Ag4Ge (PBE, optimized geometry)
# DFT formation energy = -3.5 eV/f.u.
data_Sm5Ag4Ge
_cell_length_a 3.6641
_cell_length_b 3.6641
_cell_length_c 18.7843
_cell_angle_alpha 90.00
_cell_angle_beta 90.00
_cell_angle_gamma 90.00
_space_group_name_H-M_alt 'P 4/m m m'
_space_group_IT_number 123
_space_group_name_Hall '-P 4 2'
loop_
_atom_site_label
_atom_site_fract_x
_atom_site_fract_y
_atom_site_fract_z
Sm1 0.0000 0.0000 0.0000
Sm2 0.0000 0.0000 0.2017
Sm3 0.0000 0.0000 0.4049
Ag1 0.5000 0.5000 0.1010
Ag2 0.5000 0.5000 0.2997
Ge1 0.5000 0.5000 0.5000